No. 1
Entry from Alexandria: Ac3SnO after structural relaxation (GGA-PBE).

The space group is Pm-3m (221). As for the uncorrected formation energy: -1.32 eV/atom. The value obtained for the total energy is -5.578 eV/atom. For the calculated volume, the calculation gives 29.65 Å³ per atom.

a b c (Å): 5.292 5.292 5.292
angles (deg): 90.00 90.00 90.00
Atoms (fractional coordinates):
Ac  0.000  0.000  0.500
Ac  0.000  0.500  0.000
Ac  0.500  0.000  0.000
Sn  0.500  0.500  0.500
O  0.000  0.000  0.000



No. 2
Entry from Alexandria: Sm6P3AuS2 after structural relaxation (GGA-PBE).

The space group is C2/m (12). As for the uncorrected formation energy: -1.61 eV/atom. The value obtained for the total energy is -6.287 eV/atom. For the calculated volume, the calculation gives 24.42 Å³ per atom.

a b c (Å): 9.159 9.159 8.240
angles (deg): 102.78 102.78 25.81
Atoms (fractional coordinates):
Sm  0.000  0.000  0.234
Sm  0.000  0.000  0.766
Sm  0.327  0.327  0.415
Sm  0.334  0.334  0.912
Sm  0.666  0.666  0.088
Sm  0.673  0.673  0.585
P  0.166  0.166  0.334
P  0.500  0.500  0.000
P  0.834  0.834  0.666
Au  0.500  0.500  0.500
S  0.168  0.168  0.836
S  0.832  0.832  0.164



No. 3
Entry from Alexandria: Al2ZnAg2 after structural relaxation (GGA-PBE).

The calculation puts the energy of formation from the pure elements at 0.94 eV per formula unit. The space group is I4/mmm (139). The value obtained for the polymorph energy (0 for the lowest one) is 207 meV per atom. The value obtained for the total energy is -2.704 eV/atom. For the calculated volume, the calculation gives 19.06 Å³ per atom.

a b c (Å): 7.039 7.039 7.039
angles (deg): 148.43 148.43 45.25
Atoms (fractional coordinates):
Al  0.098  0.098  0.000
Al  0.902  0.902  0.000
Zn  0.500  0.500  0.000
Ag  0.250  0.750  0.500
Ag  0.750  0.250  0.500



No. 4
Entry from Alexandria: CeGd2Rh after structural relaxation (GGA-PBE).

The calculation puts the energy of formation from the pure elements at -1.28 eV per formula unit. The space group is P4/mmm (123). The value obtained for the polymorph energy (0 for the lowest one) is 0 meV per atom. The value obtained for the total energy is -10.683 eV/atom. For the calculated volume, the calculation gives 26.20 Å³ per atom.

a b c (Å): 3.505 3.505 8.531
angles (deg): 90.00 90.00 90.00
Atoms (fractional coordinates):
Ce  0.000  0.000  0.000
Gd  0.500  0.500  0.306
Gd  0.500  0.500  0.694
Rh  0.000  0.000  0.500



No. 5
Entry from Alexandria: Sr2ZnCr after structural relaxation (GGA-PBE).

The calculation puts the energy of formation from the pure elements at 1.75 eV per formula unit. The space group is I-4m2 (119). The value obtained for the total energy is -3.127 eV/atom. For the calculated volume, the calculation gives 30.92 Å³ per atom.

a b c (Å): 6.348 6.348 6.348
angles (deg): 135.54 135.54 64.69
Atoms (fractional coordinates):
Sr  0.000  0.000  0.000
Sr  0.750  0.250  0.500
Zn  0.250  0.750  0.500
Cr  0.500  0.500  0.000



No. 6
Entry from Alexandria: UPa2Tc after structural relaxation (GGA-PBE).

The calculation puts the energy of formation from the pure elements at -0.13 eV per formula unit. The space group is P4/mmm (123). The value obtained for the polymorph energy (0 for the lowest one) is 0 meV per atom. The value obtained for the total energy is -10.195 eV/atom. For the calculated volume, the calculation gives 20.73 Å³ per atom.

a b c (Å): 5.126 5.126 3.155
angles (deg): 90.00 90.00 90.00
Atoms (fractional coordinates):
U  0.000  0.000  0.000
Pa  0.000  0.500  0.500
Pa  0.500  0.000  0.500
Tc  0.500  0.500  0.000



No. 7
Entry from Alexandria: Cd2WCl after structural relaxation (GGA-PBE).

The space group is I-4m2 (119). The value obtained for the polymorph energy (0 for the lowest one) is 794 meV per atom. As for the uncorrected formation energy: 0.93 eV/atom. The value obtained for the total energy is -3.225 eV/atom. For the calculated volume, the calculation gives 20.88 Å³ per atom.

a b c (Å): 5.557 5.557 5.557
angles (deg): 135.36 135.36 64.98
Atoms (fractional coordinates):
Cd  0.000  0.000  0.000
Cd  0.750  0.250  0.500
W  0.500  0.500  0.000
Cl  0.250  0.750  0.500



No. 8
Entry from Alexandria: In6Ge after structural relaxation (GGA-PBE).

The calculation puts the energy of formation from the pure elements at 4.61 eV per formula unit. The space group is Im-3m (229). The value obtained for the total energy is -2.349 eV/atom. For the calculated volume, the calculation gives 38.39 Å³ per atom.

a b c (Å): 7.041 7.041 7.041
angles (deg): 109.47 109.47 109.47
Atoms (fractional coordinates):
In  0.250  0.500  0.750
In  0.250  0.750  0.500
In  0.500  0.250  0.750
In  0.500  0.750  0.250
In  0.750  0.250  0.500
In  0.750  0.500  0.250
Ge  0.000  0.000  0.000



no.,N(E_F) (states/eV/cell)
1,3.0
2,5.3
3,1.6
4,7.8
5,3.4
6,9.0
7,3.2
8,5.2